1.
A relaxed structure of CaMoN3, computed with PBE-GGA.

Cell lengths 3.135, 6.515, 6.515 Å; angles 144.28, 90.00, 90.00 degrees
Atoms (fractional coordinates):
N (0.500, 0.763, 0.887)
Mo (0.000, 0.388, 0.612)
N (0.000, 0.244, 0.756)
Ca (0.500, 0.120, 0.880)
N (0.500, 0.113, 0.237)

## Properties
Symmetry ... No. 38
Formation energy (no corrections) ... -0.1685 eV/atom


2.
A relaxed structure of KMg2Tc, computed with PBE-GGA.

Cell lengths 5.718, 5.718, 10.068 Å; angles 73.50, 73.50, 90.00 degrees
Atoms (fractional coordinates):
Mg (0.869, 0.125, 0.250)
K (0.250, 0.750, 0.500)
Mg (0.881, 0.625, 0.250)
Tc (0.000, 0.000, 0.000)
Mg (0.875, 0.119, 0.750)
Tc (0.750, 0.250, 0.500)
Mg (0.375, 0.131, 0.750)
K (0.500, 0.500, 0.000)

## Properties
Symmetry ... No. 122
Calculated formation energy ... 1056.4 meV per atom


Here are the calculated spin magnetization numbers, same order: 0.000 2.626 (μB/f.u.).